1.
Below is a relaxed Tl2NiS crystal, with properties calculated at the GGA-PBE level.

Computed properties:
- magnetization (μB/atom) = 0.2849
- formation energy without anion corrections (eV per atom) = 0.481

Structure (CIF):
```
data_Tl2NiS
_chemical_formula_sum 'Tl8 Ni4 S4'
_cell_length_a 7.104
_cell_length_b 7.104
_cell_length_c 7.104
_cell_angle_alpha 90.00
_cell_angle_beta 90.00
_cell_angle_gamma 90.00
_symmetry_space_group_name_H-M 'F m -3 m'
_symmetry_Int_Tables_number 225
_symmetry_space_group_name_Hall '-F 4 2 3'
loop_
_atom_site_label
_atom_site_type_symbol
_atom_site_fract_x
_atom_site_fract_y
_atom_site_fract_z
_atom_site_occupancy
Tl1 Tl 0.250 0.250 0.250 1
Ni1 Ni 0.000 0.000 0.000 1
S1 S 0.000 0.000 0.500 1
```

=====

2.
Below is a relaxed TlNiS2 crystal, with properties calculated at the GGA-PBE level.

Computed properties:
- magnetization (μB/atom) = 0.0000
- formation energy without anion corrections (eV per atom) = -0.250

Structure (CIF):
```
data_TlNiS2
_chemical_formula_sum 'Tl3 Ni3 S6'
_cell_length_a 3.4401
_cell_length_b 3.4401
_cell_length_c 22.8841
_cell_angle_alpha 90.00
_cell_angle_beta 90.00
_cell_angle_gamma 120.00
_symmetry_space_group_name_H-M 'R 3 m'
_symmetry_Int_Tables_number 160
_symmetry_space_group_name_Hall 'R 3 -2"'
loop_
_atom_site_label
_atom_site_type_symbol
_atom_site_fract_x
_atom_site_fract_y
_atom_site_fract_z
_atom_site_occupancy
Tl1 Tl 0.0000 0.0000 0.0000 1
Ni1 Ni 0.0000 0.0000 0.1673 1
S1 S 0.0000 0.0000 0.5521 1
S2 S 0.0000 0.0000 0.7830 1
```